Record 1
DFT (PBE) results for an optimized crystal structure of LiAcMn2H8.

CIF file:
```
data_LiAcMn2H8
_symmetry_space_group_name_H-M 'R -3'
_symmetry_Int_Tables_number 148
_symmetry_space_group_name_Hall '-R 3'
_cell_length_a 4.6400
_cell_length_b 4.6400
_cell_length_c 17.1583
_cell_angle_alpha 90.00
_cell_angle_beta 90.00
_cell_angle_gamma 120.00
loop_
_atom_site_label
_atom_site_fract_x
_atom_site_fract_y
_atom_site_fract_z
Li1 0.0000 0.0000 0.0000
Ac1 0.0000 0.0000 0.5000
Mn1 0.0000 0.0000 0.3108
H1 0.0000 0.0000 0.2093
H2 0.0036 0.7203 0.3769
```

Summary:
**Total DFT energy (no corrections)**: -4.5128 eV per atom
**Density**: 5479 kg/m3

Record 2
DFT (PBE) results for an optimized crystal structure of LiAcMnH6.

CIF file:
```
data_LiAcMnH6
_symmetry_space_group_name_H-M 'P -6 m 2'
_symmetry_Int_Tables_number 187
_symmetry_space_group_name_Hall 'P -6 2'
_cell_length_a 4.6313
_cell_length_b 4.6313
_cell_length_c 4.6573
_cell_angle_alpha 90.00
_cell_angle_beta 90.00
_cell_angle_gamma 120.00
loop_
_atom_site_label
_atom_site_fract_x
_atom_site_fract_y
_atom_site_fract_z
Li1 0.0000 0.0000 0.0000
Ac1 0.6667 0.3333 0.5000
Mn1 0.3333 0.6667 0.0000
H1 0.1806 0.3612 0.2419
```

Summary:
**Total DFT energy (no corrections)**: -4.2557 eV per atom
**Density**: 5661 kg/m3

Record 3
DFT (PBE) results for an optimized crystal structure of Li2AcMoH8.

CIF file:
```
data_Li2AcMoH8
_symmetry_space_group_name_H-M 'C 1 2/m 1'
_symmetry_Int_Tables_number 12
_cell_length_a 10.226
_cell_length_b 3.387
_cell_length_c 6.884
_cell_angle_alpha 90.00
_cell_angle_beta 102.28
_cell_angle_gamma 90.00
loop_
_symmetry_equiv_pos_as_xyz
'x,y,z'
'-x,-y,-z'
'-x,y,-z'
'x,-y,z'
'x+1/2,y+1/2,z'
'-x+1/2,-y+1/2,-z'
'-x+1/2,y+1/2,-z'
'x+1/2,-y+1/2,z'
loop_
_atom_site_label
_atom_site_fract_x
_atom_site_fract_y
_atom_site_fract_z
Li1 0.233 0.000 0.150
Ac1 0.000 0.000 0.500
Mo1 0.000 0.500 0.000
H1 0.053 0.500 0.270
H2 0.056 0.000 0.903
H3 0.175 0.500 0.600
H4 0.182 0.500 0.062
```

Summary:
**Total DFT energy (no corrections)**: -4.0117 eV per atom
**Density**: 4917 kg/m3

Record 4
DFT (PBE) results for an optimized crystal structure of Li2AcNiH8.

CIF file:
```
data_Li2AcNiH8
_symmetry_space_group_name_H-M 'P -3 m 1'
_symmetry_Int_Tables_number 164
_symmetry_space_group_name_Hall '-P 3 2"'
_cell_length_a 4.4065
_cell_length_b 4.4065
_cell_length_c 6.4988
_cell_angle_alpha 90.00
_cell_angle_beta 90.00
_cell_angle_gamma 120.00
loop_
_atom_site_label
_atom_site_fract_x
_atom_site_fract_y
_atom_site_fract_z
Li1 0.3333 0.6667 0.3935
Ac1 0.0000 0.0000 0.0000
Ni1 0.0000 0.0000 0.5000
H1 0.1635 0.3271 0.6420
H2 0.3333 0.6667 0.0818
```

Summary:
**Total DFT energy (no corrections)**: -3.7449 eV per atom
**Density**: 4675 kg/m3

Record 5
DFT (PBE) results for an optimized crystal structure of LiAc2Ni3H12.

CIF file:
```
data_LiAc2Ni3H12
_symmetry_space_group_name_H-M 'R -3 m'
_symmetry_Int_Tables_number 166
_symmetry_space_group_name_Hall '-R 3 2"'
_cell_length_a 6.0884
_cell_length_b 6.0884
_cell_length_c 15.1592
_cell_angle_alpha 90.00
_cell_angle_beta 90.00
_cell_angle_gamma 120.00
loop_
_atom_site_label
_atom_site_fract_x
_atom_site_fract_y
_atom_site_fract_z
Li1 0.0000 0.0000 0.0000
Ac1 0.0000 0.0000 0.3867
Ni1 0.0000 0.5000 0.5000
H1 0.0073 0.5036 0.6074
H2 0.0550 0.5275 0.8329
```

Summary:
**Total DFT energy (no corrections)**: -4.0255 eV per atom
**Density**: 6645 kg/m3

Record 6
DFT (PBE) results for an optimized crystal structure of LiAc2NiH6.

CIF file:
```
data_LiAc2NiH6
_symmetry_space_group_name_H-M 'I 4/m m m'
_symmetry_Int_Tables_number 139
_symmetry_space_group_name_Hall '-I 4 2'
_cell_length_a 5.306
_cell_length_b 5.306
_cell_length_c 8.252
_cell_angle_alpha 90.00
_cell_angle_beta 90.00
_cell_angle_gamma 90.00
loop_
_atom_site_label
_atom_site_fract_x
_atom_site_fract_y
_atom_site_fract_z
Li1 0.000 0.000 0.000
Ac1 0.000 0.500 0.250
Ni1 0.000 0.000 0.500
H1 0.000 0.000 0.242
H2 0.227 0.227 0.500
```

Summary:
**Total DFT energy (no corrections)**: -3.9690 eV per atom
**Density**: 7514 kg/m3

Record 7
DFT (PBE) results for an optimized crystal structure of LiAc2H6Os.

CIF file:
```
data_LiAc2H6Os
_symmetry_space_group_name_H-M 'I 4/m m m'
_symmetry_Int_Tables_number 139
_symmetry_space_group_name_Hall '-I 4 2'
_cell_length_a 5.141
_cell_length_b 5.141
_cell_length_c 9.066
_cell_angle_alpha 90.00
_cell_angle_beta 90.00
_cell_angle_gamma 90.00
loop_
_atom_site_label
_atom_site_fract_x
_atom_site_fract_y
_atom_site_fract_z
Li1 0.000 0.000 0.000
Ac1 0.000 0.500 0.250
H1 0.000 0.000 0.194
H2 0.238 0.238 0.500
Os1 0.000 0.000 0.500
```

Summary:
**Total DFT energy (no corrections)**: -4.4892 eV per atom
**Density**: 9110 kg/m3

Record 8
DFT (PBE) results for an optimized crystal structure of LiAcH6Os.

CIF file:
```
data_LiAcH6Os
_symmetry_space_group_name_H-M 'P -6 m 2'
_symmetry_Int_Tables_number 187
_symmetry_space_group_name_Hall 'P -6 2'
_cell_length_a 4.8350
_cell_length_b 4.8350
_cell_length_c 4.5475
_cell_angle_alpha 90.00
_cell_angle_beta 90.00
_cell_angle_gamma 120.00
loop_
_atom_site_label
_atom_site_fract_x
_atom_site_fract_y
_atom_site_fract_z
Li1 0.0000 0.0000 0.0000
Ac1 0.6667 0.3333 0.5000
H1 0.1835 0.3670 0.2526
Os1 0.3333 0.6667 0.0000
```

Summary:
**Total DFT energy (no corrections)**: -4.5345 eV per atom
**Density**: 7760 kg/m3

Record 9
DFT (PBE) results for an optimized crystal structure of LiAcPH.

CIF file:
```
data_LiAcPH
_symmetry_space_group_name_H-M 'F -4 3 m'
_symmetry_Int_Tables_number 216
_symmetry_space_group_name_Hall 'F -4 2 3'
_cell_length_a 6.832
_cell_length_b 6.832
_cell_length_c 6.832
_cell_angle_alpha 90.00
_cell_angle_beta 90.00
_cell_angle_gamma 90.00
loop_
_atom_site_label
_atom_site_fract_x
_atom_site_fract_y
_atom_site_fract_z
Li1 0.000 0.000 0.000
Ac1 0.000 0.000 0.500
P1 0.250 0.250 0.250
H1 0.250 0.250 0.750
```

Summary:
**Total DFT energy (no corrections)**: -4.4042 eV per atom
**Density**: 5539 kg/m3
**Energy above the most stable polymorph in this dataset**: 0.96 eV/f.u.

Record 10
DFT (PBE) results for an optimized crystal structure of LiAcPH.

CIF file:
```
data_LiAcPH
_symmetry_space_group_name_H-M 'P 4/n m m'
_symmetry_Int_Tables_number 129
_cell_length_a 4.141
_cell_length_b 4.141
_cell_length_c 8.566
_cell_angle_alpha 90.00
_cell_angle_beta 90.00
_cell_angle_gamma 90.00
loop_
_symmetry_equiv_pos_as_xyz
'x,y,z'
'-x,-y,-z'
'-y+1/2,x,z'
'y+1/2,-x,-z'
'-x+1/2,-y+1/2,z'
'x+1/2,y+1/2,-z'
'y,-x+1/2,z'
'-y,x+1/2,-z'
'x+1/2,-y,-z'
'-x+1/2,y,z'
'-y,-x,-z'
'y,x,z'
'-x,y+1/2,-z'
'x,-y+1/2,z'
'y+1/2,x+1/2,-z'
'-y+1/2,-x+1/2,z'
loop_
_atom_site_label
_atom_site_fract_x
_atom_site_fract_y
_atom_site_fract_z
Li1 0.250 0.750 0.000
Ac1 0.250 0.250 0.322
P1 0.250 0.250 0.819
H1 0.250 0.750 0.500
```

Summary:
**Total DFT energy (no corrections)**: -4.6439 eV per atom
**Density**: 6012 kg/m3
**Energy above the most stable polymorph in this dataset**: 0.00 eV/f.u.

Record 11
DFT (PBE) results for an optimized crystal structure of Li5Ac2H2Pb3.

CIF file:
```
data_Li5Ac2H2Pb3
_symmetry_space_group_name_H-M 'I 4/m m m'
_symmetry_Int_Tables_number 139
_symmetry_space_group_name_Hall '-I 4 2'
_cell_length_a 4.792
_cell_length_b 4.792
_cell_length_c 22.901
_cell_angle_alpha 90.00
_cell_angle_beta 90.00
_cell_angle_gamma 90.00
loop_
_atom_site_label
_atom_site_fract_x
_atom_site_fract_y
_atom_site_fract_z
Li1 0.000 0.000 0.000
Li2 0.000 0.500 0.074
Ac1 0.000 0.000 0.188
H1 0.000 0.000 0.082
Pb1 0.000 0.000 0.345
Pb2 0.000 0.000 0.500
```

Summary:
**Total DFT energy (no corrections)**: -3.3556 eV per atom
**Density**: 7024 kg/m3

Record 12
DFT (PBE) results for an optimized crystal structure of LiAcHPb.

CIF file:
```
data_LiAcHPb
_symmetry_space_group_name_H-M 'P 3 m 1'
_symmetry_Int_Tables_number 156
_cell_length_a 4.5684
_cell_length_b 4.5684
_cell_length_c 4.9659
_cell_angle_alpha 90.00
_cell_angle_beta 90.00
_cell_angle_gamma 120.00
loop_
_symmetry_equiv_pos_as_xyz
'x,y,z'
'-y,x-y,z'
'-x+y,-x,z'
'-y,-x,z'
'-x+y,y,z'
'x,x-y,z'
loop_
_atom_site_label
_atom_site_fract_x
_atom_site_fract_y
_atom_site_fract_z
Li1 0.0000 0.0000 0.0000
Ac1 0.3333 0.6667 0.4297
H1 0.0000 0.0000 0.3796
Pb1 0.6667 0.3333 0.9086
```

Summary:
**Total DFT energy (no corrections)**: -3.7108 eV per atom
**Density**: 8180 kg/m3

Record 13
DFT (PBE) results for an optimized crystal structure of Li2Ac2HPb2.

CIF file:
```
data_Li2Ac2HPb2
_symmetry_space_group_name_H-M 'I 4/m m m'
_symmetry_Int_Tables_number 139
_symmetry_space_group_name_Hall '-I 4 2'
_cell_length_a 4.772
_cell_length_b 4.772
_cell_length_c 16.318
_cell_angle_alpha 90.00
_cell_angle_beta 90.00
_cell_angle_gamma 90.00
loop_
_atom_site_label
_atom_site_fract_x
_atom_site_fract_y
_atom_site_fract_z
Li1 0.000 0.500 0.000
Ac1 0.000 0.000 0.159
H1 0.000 0.000 0.000
Pb1 0.000 0.000 0.384
```

Summary:
**Total DFT energy (no corrections)**: -3.6952 eV per atom
**Density**: 7895 kg/m3

Record 14
DFT (PBE) results for an optimized crystal structure of LiAcH6Pd.

CIF file:
```
data_LiAcH6Pd
_symmetry_space_group_name_H-M 'P -6 m 2'
_symmetry_Int_Tables_number 187
_symmetry_space_group_name_Hall 'P -6 2'
_cell_length_a 4.6575
_cell_length_b 4.6575
_cell_length_c 4.8178
_cell_angle_alpha 90.00
_cell_angle_beta 90.00
_cell_angle_gamma 120.00
loop_
_atom_site_label
_atom_site_fract_x
_atom_site_fract_y
_atom_site_fract_z
Li1 0.0000 0.0000 0.0000
Ac1 0.3333 0.6667 0.5000
H1 0.3416 0.1708 0.2473
Pd1 0.6667 0.3333 0.0000
```

Summary:
**Total DFT energy (no corrections)**: -3.8051 eV per atom
**Density**: 6355 kg/m3

Record 15
DFT (PBE) results for an optimized crystal structure of LiAc2H6Pd.

CIF file:
```
data_LiAc2H6Pd
_symmetry_space_group_name_H-M 'I 4/m m m'
_symmetry_Int_Tables_number 139
_symmetry_space_group_name_Hall '-I 4 2'
_cell_length_a 5.354
_cell_length_b 5.354
_cell_length_c 8.546
_cell_angle_alpha 90.00
_cell_angle_beta 90.00
_cell_angle_gamma 90.00
loop_
_atom_site_label
_atom_site_fract_x
_atom_site_fract_y
_atom_site_fract_z
Li1 0.000 0.000 0.000
Ac1 0.000 0.500 0.250
H1 0.000 0.000 0.222
H2 0.241 0.241 0.500
Pd1 0.000 0.000 0.500
```

Summary:
**Total DFT energy (no corrections)**: -3.9488 eV per atom
**Density**: 7774 kg/m3

Record 16
DFT (PBE) results for an optimized crystal structure of LiAc2H12Pd3.

CIF file:
```
data_LiAc2H12Pd3
_symmetry_space_group_name_H-M 'R -3 m'
_symmetry_Int_Tables_number 166
_symmetry_space_group_name_Hall '-R 3 2"'
_cell_length_a 6.4952
_cell_length_b 6.4952
_cell_length_c 15.1013
_cell_angle_alpha 90.00
_cell_angle_beta 90.00
_cell_angle_gamma 120.00
loop_
_atom_site_label
_atom_site_fract_x
_atom_site_fract_y
_atom_site_fract_z
Li1 0.0000 0.0000 0.0000
Ac1 0.0000 0.0000 0.3807
H1 0.0141 0.5071 0.6151
H2 0.0386 0.5193 0.8351
Pd1 0.0000 0.5000 0.5000
```

Summary:
**Total DFT energy (no corrections)**: -3.9193 eV per atom
**Density**: 7154 kg/m3

Record 17
DFT (PBE) results for an optimized crystal structure of LiAcH6Pt.

CIF file:
```
data_LiAcH6Pt
_symmetry_space_group_name_H-M 'P -6 m 2'
_symmetry_Int_Tables_number 187
_symmetry_space_group_name_Hall 'P -6 2'
_cell_length_a 4.7136
_cell_length_b 4.7136
_cell_length_c 4.7175
_cell_angle_alpha 90.00
_cell_angle_beta 90.00
_cell_angle_gamma 120.00
loop_
_atom_site_label
_atom_site_fract_x
_atom_site_fract_y
_atom_site_fract_z
Li1 0.0000 0.0000 0.0000
Ac1 0.6667 0.3333 0.5000
H1 0.1750 0.3500 0.2501
Pt1 0.3333 0.6667 0.0000
```

Summary:
**Total DFT energy (no corrections)**: -3.9643 eV per atom
**Density**: 7959 kg/m3

Record 18
DFT (PBE) results for an optimized crystal structure of LiAc2HPt6.

CIF file:
```
data_LiAc2HPt6
_symmetry_space_group_name_H-M 'R -3 m'
_symmetry_Int_Tables_number 166
_symmetry_space_group_name_Hall '-R 3 2"'
_cell_length_a 5.7604
_cell_length_b 5.7604
_cell_length_c 19.1710
_cell_angle_alpha 90.00
_cell_angle_beta 90.00
_cell_angle_gamma 120.00
loop_
_atom_site_label
_atom_site_fract_x
_atom_site_fract_y
_atom_site_fract_z
Li1 0.0000 0.0000 0.0000
Ac1 0.0000 0.0000 0.2809
H1 0.0000 0.0000 0.5000
Pt1 0.0082 0.5041 0.7721
```

Summary:
**Total DFT energy (no corrections)**: -5.6682 eV per atom
**Density**: 14758 kg/m3

Record 19
DFT (PBE) results for an optimized crystal structure of LiAcH8Pt2.

CIF file:
```
data_LiAcH8Pt2
_symmetry_space_group_name_H-M 'R -3'
_symmetry_Int_Tables_number 148
_symmetry_space_group_name_Hall '-R 3'
_cell_length_a 4.9277
_cell_length_b 4.9277
_cell_length_c 17.3483
_cell_angle_alpha 90.00
_cell_angle_beta 90.00
_cell_angle_gamma 120.00
loop_
_atom_site_label
_atom_site_fract_x
_atom_site_fract_y
_atom_site_fract_z
Li1 0.0000 0.0000 0.0000
Ac1 0.0000 0.0000 0.5000
H1 0.0000 0.0000 0.1838
H2 0.0019 0.6855 0.6125
Pt1 0.0000 0.0000 0.2775
```

Summary:
**Total DFT energy (no corrections)**: -3.9470 eV per atom
**Density**: 8632 kg/m3

Record 20
DFT (PBE) results for an optimized crystal structure of LiAcReH6.

CIF file:
```
data_LiAcReH6
_symmetry_space_group_name_H-M 'P 1 m 1'
_symmetry_Int_Tables_number 6
_cell_length_a 4.759
_cell_length_b 4.677
_cell_length_c 4.764
_cell_angle_alpha 90.00
_cell_angle_beta 118.69
_cell_angle_gamma 90.00
loop_
_symmetry_equiv_pos_as_xyz
'x,y,z'
'x,-y,z'
loop_
_atom_site_label
_atom_site_fract_x
_atom_site_fract_y
_atom_site_fract_z
Li1 0.000 0.000 0.000
Ac1 0.336 0.500 0.662
Re1 0.662 0.000 0.339
H1 0.357 0.254 0.165
H2 0.817 0.248 0.180
H3 0.834 0.255 0.643
```

Summary:
**Total DFT energy (no corrections)**: -4.5767 eV per atom
**Density**: 7608 kg/m3

Record 21
DFT (PBE) results for an optimized crystal structure of LiAc2H6Rh.

CIF file:
```
data_LiAc2H6Rh
_symmetry_space_group_name_H-M 'I 4/m m m'
_symmetry_Int_Tables_number 139
_symmetry_space_group_name_Hall '-I 4 2'
_cell_length_a 5.183
_cell_length_b 5.183
_cell_length_c 9.010
_cell_angle_alpha 90.00
_cell_angle_beta 90.00
_cell_angle_gamma 90.00
loop_
_atom_site_label
_atom_site_fract_x
_atom_site_fract_y
_atom_site_fract_z
Li1 0.000 0.000 0.000
Ac1 0.000 0.500 0.250
H1 0.000 0.000 0.203
H2 0.233 0.233 0.500
Rh1 0.000 0.000 0.500
```

Summary:
**Total DFT energy (no corrections)**: -4.2088 eV per atom
**Density**: 7819 kg/m3

Record 22
DFT (PBE) results for an optimized crystal structure of LiAcH6Rh.

CIF file:
```
data_LiAcH6Rh
_symmetry_space_group_name_H-M 'P -6 m 2'
_symmetry_Int_Tables_number 187
_symmetry_space_group_name_Hall 'P -6 2'
_cell_length_a 4.7443
_cell_length_b 4.7443
_cell_length_c 4.6038
_cell_angle_alpha 90.00
_cell_angle_beta 90.00
_cell_angle_gamma 120.00
loop_
_atom_site_label
_atom_site_fract_x
_atom_site_fract_y
_atom_site_fract_z
Li1 0.0000 0.0000 0.0000
Ac1 0.6667 0.3333 0.5000
H1 0.1797 0.3594 0.2484
Rh1 0.3333 0.6667 0.0000
```

Summary:
**Total DFT energy (no corrections)**: -4.1620 eV per atom
**Density**: 6345 kg/m3